No. 1
# Y4CdPt

A crystal of Y4CdPt relaxed with PBEsol (meta-GGA SCAN, the Alexandria database).

Results
VASP energy, eV per atom: -36.10
Total moment, μB/cell: 0.000

a = 9.5486 Å, b = 9.5486 Å, c = 9.5486 Å
α = 60.00°, β = 60.00°, γ = 60.00°
Closest atoms and distances in Å follow each position.
Atoms (fractional coordinates):
Y  0.0638  0.4362  0.4362  2 Cd 3.23, 10 Y 3.46-3.58, 2 Pt 3.46
Y  0.8094  0.8094  0.1906  2 Pt 2.81
Y  0.1906  0.8094  0.1906  2 Pt 2.81
Y  0.1906  0.8094  0.8094  2 Pt 2.81
Y  0.1906  0.1906  0.8094  2 Pt 2.81
Y  0.0584  0.6472  0.6472  3 Pt 2.83
Y  0.8094  0.1906  0.8094  2 Pt 2.81
Y  0.0638  0.0638  0.4362  2 Cd 3.23, 10 Y 3.46-3.58, 2 Pt 3.46
Y  0.4362  0.0638  0.0638  2 Cd 3.23, 10 Y 3.46-3.58, 2 Pt 3.46
Y  0.6472  0.6472  0.6472  3 Pt 2.83
Y  0.4362  0.4362  0.0638  2 Cd 3.23, 10 Y 3.46-3.58, 2 Pt 3.46
Y  0.6472  0.0584  0.6472  3 Pt 2.83
Y  0.0638  0.4362  0.0638  2 Cd 3.23, 10 Y 3.46-3.58, 2 Pt 3.46
Y  0.8094  0.1906  0.1906  2 Pt 2.81
Y  0.4362  0.0638  0.4362  2 Cd 3.23, 10 Y 3.46-3.58, 2 Pt 3.46
Y  0.6472  0.6472  0.0584  3 Pt 2.83
Pt  0.8566  0.8566  0.8566  6 Y 2.81-2.83
Pt  0.4302  0.8566  0.8566  6 Y 2.81-2.83
Pt  0.8566  0.4302  0.8566  6 Y 2.81-2.83
Pt  0.8566  0.8566  0.4302  6 Y 2.81-2.83
Cd  0.4187  0.7438  0.4187  3 Cd 3.10, 9 Y 3.23-3.45
Cd  0.7438  0.4187  0.4187  3 Cd 3.10, 9 Y 3.23-3.45
Cd  0.4187  0.4187  0.4187  3 Cd 3.10, 9 Y 3.23-3.45
Cd  0.4187  0.4187  0.7438  3 Cd 3.10, 9 Y 3.23-3.45


No. 2
# Si2RuAu

A crystal of Si2RuAu relaxed with PBEsol (meta-GGA SCAN, the Alexandria database).

Results
Polymorph energy (0 for the lowest one), meV per atom: 0
Uncorrected formation energy, meV/atom: -275
Total moment, μB/cell: 0.000

a = 3.0927 Å, b = 3.6053 Å, c = 5.0710 Å
α = 90.00°, β = 90.00°, γ = 90.00°
Closest atoms and distances in Å follow each position.
Atoms (fractional coordinates):
Ru  0.5000  0.5000  0.8051  5 Si 2.38-2.50
Si  0.0000  0.0000  0.9620  4 Ru 2.50, 2 Au 2.52-2.55
Si  0.5000  0.5000  0.2743  1 Ru 2.38, 4 Au 2.55
Au  0.0000  0.0000  0.4586  6 Si 2.52-2.55